SmCuNi2H8 after structural relaxation. Source: the Alexandria database, functional PBE-GGA.

It has space group R-3 (No. 148, hexagonal axes), with a = 4.4437 Å, b = 4.4437 Å, c = 16.1076 Å, α = 90.00°, β = 90.00° and γ = 120.00°. Symmetry generates all atoms from Sm at (0.0000, 0.0000, 0.0000), Cu at (0.0000, 0.0000, 0.5000), Ni at (0.0000, 0.0000, 0.2030), H at (0.0000, 0.0000, 0.3032) and H at (0.0145, 0.7121, 0.1168).

As for the uncorrected energy: -4.0531 eV/atom. Its density of states at the Fermi level is 0.1073 states/eV per atom.

LiZn2Cd after structural relaxation. Source: the Alexandria database, functional PBE-GGA.

It has space group Pmm2 (No. 25), with a = 3.076 Å, b = 3.469 Å, c = 6.164 Å, α = 90.00°, β = 90.00° and γ = 90.00°. Symmetry generates all atoms from Li at (0.000, 0.000, 0.000), Zn at (0.000, 0.000, 0.456), Zn at (0.500, 0.500, 0.225) and Cd at (0.500, 0.500, 0.743).

For the formation energy from the elements, the calculation gives -0.11 eV/atom. Its density of states at the Fermi level is 0.2594 states/eV per atom.